[1]
TmSc2TlN after structural relaxation, computed with PBE.

Cell: 4.5107 4.5107 4.6924 Å, 90.00 90.00 90.00°
Positions (direct):
Tm: 0.0000 0.0000 0.0000
Sc: 0.0000 0.5000 0.5000
Sc: 0.5000 0.0000 0.5000
Tl: 0.5000 0.5000 0.0000
N: 0.0000 0.0000 0.5000

Summary:
The density of states at the Fermi level is 0.56 states/eV/atom. The raw formation energy is -5.08 eV per formula unit. The space group is P4/mmm (123). For the magnetic moment, the calculation gives 0.000 μB per cell.

---

[2]
Y2ScTlN after structural relaxation, computed with PBE.

Cell: 4.8283 4.8283 4.5210 Å, 90.00 90.00 90.00°
Positions (direct):
Y: 0.0000 0.5000 0.0000
Y: 0.5000 0.0000 0.0000
Sc: 0.0000 0.0000 0.5000
Tl: 0.5000 0.5000 0.5000
N: 0.0000 0.0000 0.0000

Summary:
The density of states at the Fermi level is 0.56 states/eV/atom. The raw formation energy is -4.88 eV per formula unit. The space group is P4/mmm (123). For the magnetic moment, the calculation gives 0.000 μB per cell.

---

[3]
ScTl2ZnN after structural relaxation, computed with PBE.

Cell: 5.3101 5.3101 4.0765 Å, 90.00 90.00 90.00°
Positions (direct):
Sc: 0.0000 0.0000 0.0000
Tl: 0.0000 0.5000 0.5000
Tl: 0.5000 0.0000 0.5000
Zn: 0.5000 0.5000 0.0000
N: 0.0000 0.0000 0.5000

Summary:
The density of states at the Fermi level is 0.56 states/eV/atom. The raw formation energy is 0.27 eV per formula unit. The space group is P4/mmm (123). For the magnetic moment, the calculation gives 0.000 μB per cell.

---

[4]
Zr2ScTlN after structural relaxation, computed with PBE.

Cell: 4.5319 4.5319 4.4909 Å, 90.00 90.00 90.00°
Positions (direct):
Zr: 0.0000 0.5000 0.0000
Zr: 0.5000 0.0000 0.0000
Sc: 0.0000 0.0000 0.5000
Tl: 0.5000 0.5000 0.5000
N: 0.0000 0.0000 0.0000

Summary:
The density of states at the Fermi level is 0.55 states/eV/atom. The raw formation energy is -4.21 eV per formula unit. Its energy above the most stable polymorph in this dataset is 0 meV per atom. The space group is P4/mmm (123). For the magnetic moment, the calculation gives 0.000 μB per cell.

---

[5]
Zr2ScTlN after structural relaxation, computed with PBE.

Cell: 4.3870 4.3870 5.3802 Å, 90.00 90.00 90.00°
Positions (direct):
Zr: 0.0000 0.5000 0.0000
Zr: 0.5000 0.0000 0.0000
Sc: 0.0000 0.0000 0.5000
Tl: 0.5000 0.5000 0.5000
N: 0.5000 0.5000 0.0000

Summary:
The density of states at the Fermi level is 0.79 states/eV/atom. The raw formation energy is -1.84 eV per formula unit. Its energy above the most stable polymorph in this dataset is 473 meV per atom. The space group is P4/mmm (123). For the magnetic moment, the calculation gives 0.000 μB per cell.

---

[6]
TmSc3N after structural relaxation, computed with PBE.

Cell: 4.6293 4.6293 4.6293 Å, 90.00 90.00 90.00°
Positions (direct):
Tm: 0.0000 0.0000 0.0000
Sc: 0.0000 0.5000 0.5000
Sc: 0.5000 0.0000 0.5000
Sc: 0.5000 0.5000 0.0000
N: 0.5000 0.5000 0.5000

Summary:
The density of states at the Fermi level is 1.53 states/eV/atom. The raw formation energy is -2.68 eV per formula unit. The space group is Pm-3m (221). For the magnetic moment, the calculation gives 1.359 μB per cell.

---

[7]
Tm5ScN6 after structural relaxation, computed with PBE.

Cell: 5.8392 5.8392 5.8372 Å, 99.59 99.59 120.01°
Positions (direct):
Tm: 0.0000 0.0000 0.0000
Tm: 0.1668 0.8332 0.5000
Tm: 0.3345 0.6655 0.0000
Tm: 0.6655 0.3345 0.0000
Tm: 0.8332 0.1668 0.5000
Sc: 0.5000 0.5000 0.5000
N: 0.0899 0.4177 0.2531
N: 0.2545 0.2545 0.7469
N: 0.4177 0.0899 0.2531
N: 0.5823 0.9101 0.7469
N: 0.7455 0.7455 0.2531
N: 0.9101 0.5823 0.7469

Summary:
The density of states at the Fermi level is 0.02 states/eV/atom. The raw formation energy is -21.92 eV per formula unit. The space group is C2/m (12). For the magnetic moment, the calculation gives 0.000 μB per cell.

---

[8]
Tm3ScN4 after structural relaxation, computed with PBE.

Cell: 5.8073 6.7124 5.8085 Å, 90.00 109.46 90.00°
Positions (direct):
Tm: 0.0000 0.1232 0.2500
Tm: 0.0000 0.3729 0.7500
Tm: 0.0000 0.6271 0.2500
Tm: 0.0000 0.8768 0.7500
Tm: 0.5000 0.3730 0.2500
Tm: 0.5000 0.6270 0.7500
Sc: 0.5000 0.1222 0.7500
Sc: 0.5000 0.8778 0.2500
N: 0.2518 0.3714 0.5038
N: 0.2518 0.6286 0.0038
N: 0.2576 0.1206 0.9993
N: 0.2576 0.8794 0.4993
N: 0.7424 0.1206 0.5007
N: 0.7424 0.8794 0.0007
N: 0.7482 0.3714 0.9962
N: 0.7482 0.6286 0.4962

Summary:
The density of states at the Fermi level is 0.04 states/eV/atom. The raw formation energy is -14.61 eV per formula unit. Its energy above the most stable polymorph in this dataset is 0 meV per atom. The space group is P2/c (13). For the magnetic moment, the calculation gives 0.000 μB per cell.

---

- The lowest raw formation energy belongs to which entry?
  Tm5ScN6